The following is a GGA-PBE calculation of a geometry-optimized Rb2YH structure, from the Alexandria database.

Summary:
**Calculated total energy**: -2.577 eV/atom
**Distance to the lowest polymorph of the same formula**: 0 meV/atom

Cell lengths 9.9256, 9.9256, 9.9256 Å; angles 92.64, 92.64, 155.20 degrees
Last column: nearest neighbours and their distance in Å.
Element x y z (fractional)
Rb 0.3750 0.2194 0.3444  2 H 3.70, 2 Y 4.00
Rb 0.7806 0.1250 0.1556  2 H 3.70, 2 Y 4.00
Rb 0.8750 0.0306 0.6556  2 H 3.70, 2 Y 4.00
Rb 0.9694 0.6250 0.8444  2 H 3.70, 2 Y 4.00
Y 0.2500 0.7500 0.5000  2 H 2.13
Y 0.5000 0.5000 0.0000  2 H 2.13
H 0.0000 0.0000 0.0000  2 Y 2.13
H 0.7500 0.2500 0.5000  2 Y 2.13

The following is a GGA-PBE calculation of a geometry-optimized Sc3Ag2 structure, from the Alexandria database.

Summary:
**Calculated total energy**: -5.077 eV/atom
**Distance to the lowest polymorph of the same formula**: 66 meV/atom

Cell lengths 5.5035, 5.5035, 7.4529 Å; angles 122.46, 122.46, 34.79 degrees
Last column: nearest neighbours and their distance in Å.
Element x y z (fractional)
Sc 0.0000 0.0000 0.0000  4 Ag 2.95, 8 Sc 3.15-3.29
Sc 0.1755 0.1755 0.7688  5 Ag 2.99-3.10, 7 Sc 3.15-3.31
Sc 0.8245 0.8245 0.2312  5 Ag 2.99-3.10, 7 Sc 3.15-3.31
Ag 0.3922 0.3922 0.6102  7 Sc 2.95-3.10, 4 Ag 2.97-3.29
Ag 0.6078 0.6078 0.3898  7 Sc 2.95-3.10, 4 Ag 2.97-3.29

The following is a GGA-PBE calculation of a geometry-optimized Sr2MgCr structure, from the Alexandria database.

Summary:
**Calculated total energy**: -3.262 eV/atom

Cell lengths 8.0093, 8.0093, 8.0093 Å; angles 35.99, 35.99, 35.99 degrees
Last column: nearest neighbours and their distance in Å.
Element x y z (fractional)
Sr 0.0000 0.0000 0.0000  3 Mg 3.53, 3 Cr 3.55
Sr 0.1854 0.1854 0.1854  3 Cr 3.52, 3 Mg 3.54
Mg 0.4254 0.4254 0.4254  3 Cr 2.86
Cr 0.7602 0.7602 0.7602  3 Mg 2.86

The following is a GGA-PBE calculation of a geometry-optimized Cs2IrRu2 structure, from the Alexandria database.

Summary:
**Calculated total energy**: -4.564 eV/atom

Cell lengths 12.2095, 12.2095, 12.2095 Å; angles 163.79, 163.79, 23.00 degrees
Last column: nearest neighbours and their distance in Å.
Element x y z (fractional)
Cs 0.1051 0.1051 0.0000  4 Cs 3.44, 4 Ir 3.50
Cs 0.8949 0.8949 0.0000  4 Cs 3.44, 4 Ir 3.50
Ir 0.5000 0.5000 0.0000  4 Ir 3.44, 8 Cs 3.50
Ru 0.2500 0.7500 0.5000  4 Ru 2.43
Ru 0.7500 0.2500 0.5000  4 Ru 2.43

The following is a GGA-PBE calculation of a geometry-optimized TaZnH structure, from the Alexandria database.

Summary:
**Calculated total energy**: -5.512 eV/atom
**Distance to the lowest polymorph of the same formula**: 35 meV/atom

Cell lengths 2.9964, 4.4277, 5.5200 Å; angles 89.93, 75.42, 89.72 degrees
Last column: nearest neighbours and their distance in Å.
Element x y z (fractional)
Ta 0.0000 0.0000 0.0000  3 H 1.87-1.90
Ta 0.3091 0.5334 0.3146  3 H 1.88-1.94
Zn 0.6053 0.5421 0.7542  1 H 2.05
Zn 0.7160 0.0402 0.5231  2 Zn 2.53-2.54, 1 Ta 2.80
H 0.4680 0.2515 0.0521  3 Ta 1.87-1.90, 1 Zn 2.05, 1 H 2.06
H 0.9182 0.5862 0.0947  3 Ta 1.90-1.94, 1 H 2.06

The following is a GGA-PBE calculation of a geometry-optimized Pm3SiTe2 structure, from the Alexandria database.

Summary:
**Calculated total energy**: -5.600 eV/atom
**Formation energy (no corrections)**: -1273 meV/atom
**Distance to the lowest polymorph of the same formula**: 0 meV/atom

Cell lengths 7.5943, 7.5943, 7.7015 Å; angles 99.45, 99.45, 120.00 degrees
Last column: nearest neighbours and their distance in Å.
Element x y z (fractional)
Pm 0.0713 0.4238 0.7718  2 Si 2.96-2.97, 4 Te 3.15-3.28
Pm 0.2219 0.2219 0.2238  2 Si 2.96, 4 Te 3.12-3.24
Pm 0.4238 0.0713 0.7718  2 Si 2.96-2.97, 4 Te 3.15-3.28
Pm 0.5762 0.9287 0.2282  2 Si 2.96-2.97, 4 Te 3.15-3.28
Pm 0.7781 0.7781 0.7762  2 Si 2.96, 4 Te 3.12-3.24
Pm 0.9287 0.5762 0.2282  2 Si 2.96-2.97, 4 Te 3.15-3.28
Si 0.1678 0.8322 0.0000  6 Pm 2.96-2.97
Si 0.8322 0.1678 0.0000  6 Pm 2.96-2.97
Te 0.0000 0.0000 0.5000  6 Pm 3.12-3.27
Te 0.3396 0.6604 0.5000  6 Pm 3.15-3.28
Te 0.5000 0.5000 0.0000  6 Pm 3.13-3.15
Te 0.6604 0.3396 0.5000  6 Pm 3.15-3.28